Ni2IrW (PBE-GGA, optimized geometry); ΔH_f (0 K) = 0.12 eV/f.u.; total magnetization = 0.000 Bohr magnetons per cell
1.0
0.000 2.993 2.993
2.993 0.000 2.993
2.993 2.993 0.000
Ni Ir W
2 1 1
direct
0.000 0.000 0.000
0.250 0.250 0.250
0.500 0.500 0.500
0.750 0.750 0.750